[1]
ScHgPb2 GGA-PBEsol optimized geometry; spin magnetization = 0.000 μB/atom; calculated volume = 25.0 A^3/atom; calculated total energy = -3.9965 eV/atom; symmetry = Pm, No. 6
1.0
3.543 0.000 -0.047
0.000 4.852 0.000
-1.705 0.000 5.843
Pb Sc Hg
2 1 1
direct
0.030 0.000 0.937
0.724 0.500 0.322
0.296 0.000 0.465
0.450 0.500 0.776

[2]
LiFeBO3 GGA-PBEsol optimized geometry; spin magnetization = 0.667 μB/atom; calculated volume = 9.2 A^3/atom; calculated total energy = -7.4679 eV/atom; ΔE_f (raw) = -1.85 eV per atom; symmetry = Cc, No. 9
1.0
5.149 0.000 -0.267
2.574 4.442 -0.133
-0.203 0.000 9.714
B O Li Fe
4 12 4 4
direct
0.980 0.332 0.375
0.312 0.668 0.875
0.694 0.326 0.121
0.021 0.674 0.621
0.443 0.607 0.145
0.680 0.068 0.136
0.050 0.674 0.905
0.050 0.393 0.645
0.562 0.392 0.846
0.724 0.326 0.405
0.328 0.928 0.875
0.256 0.072 0.375
0.273 0.681 0.587
0.954 0.319 0.087
0.954 0.608 0.346
0.748 0.932 0.636
0.656 0.983 0.837
0.639 0.017 0.337
0.350 0.009 0.582
0.359 0.991 0.082
0.307 0.662 0.355
0.969 0.338 0.855
0.693 0.345 0.635
0.037 0.655 0.135

[3]
TaAg2Sb GGA-PBEsol optimized geometry; spin magnetization = 0.000 μB/atom; calculated volume = 18.5 A^3/atom; calculated total energy = -5.6708 eV/atom; ΔE_f (raw) = 0.26 eV per atom; symmetry = C2/m, No. 12
1.0
-1.272 -1.372 2.240
-3.646 -1.202 -3.067
4.952 -3.074 -0.841
Sb Ag Ta
1 2 1
direct
0.500 0.000 0.000
0.500 0.500 0.500
0.000 0.000 0.500
0.000 0.500 0.000

[4]
Ba3ZrIr2O9 GGA-PBEsol optimized geometry; spin magnetization = 0.000 μB/atom; calculated volume = 13.9 A^3/atom; calculated total energy = -7.7175 eV/atom; ΔE_f (raw) = -2.22 eV per atom; symmetry = P6_3/mmc, No. 194
1.0
-4.320 3.381 -1.832
-0.778 -3.470 4.562
4.498 10.481 8.740
O Zr Ir Ba
18 2 4 6
direct
0.830 0.170 0.082
0.508 0.492 0.250
0.492 0.985 0.750
0.985 0.492 0.250
0.340 0.170 0.418
0.170 0.830 0.918
0.492 0.508 0.750
0.830 0.170 0.418
0.170 0.830 0.582
0.660 0.830 0.918
0.830 0.660 0.418
0.015 0.508 0.750
0.170 0.340 0.582
0.508 0.015 0.250
0.340 0.170 0.082
0.170 0.340 0.918
0.660 0.830 0.582
0.830 0.660 0.082
0.000 0.000 0.000
0.000 0.000 0.500
0.667 0.333 0.338
0.333 0.667 0.838
0.667 0.333 0.162
0.333 0.667 0.662
0.000 0.000 0.250
0.667 0.333 0.906
0.333 0.667 0.406
0.333 0.667 0.094
0.000 0.000 0.750
0.667 0.333 0.594

[5]
Mg2TlHg GGA-PBEsol optimized geometry; spin magnetization = 0.000 μB/atom; calculated volume = 21.9 A^3/atom; calculated total energy = -1.8355 eV/atom; symmetry = Pmmm, No. 47
1.0
-2.853 1.723 -0.746
-2.514 -4.365 -0.467
-1.193 0.160 4.927
Mg Tl Hg
2 1 1
direct
0.000 0.000 0.125
0.000 0.500 0.625
0.500 0.000 0.625
0.500 0.500 0.125

[6]
SrLiMg GGA-PBEsol optimized geometry; spin magnetization = 0.000 μB/atom; calculated volume = 30.0 A^3/atom; calculated total energy = -1.8613 eV/atom; symmetry = I4mm, No. 107
1.0
3.920 0.000 0.000
0.000 3.920 0.000
-1.960 -1.960 5.858
Sr Mg Li
1 1 1
direct
0.668 0.668 0.335
0.361 0.361 0.722
0.971 0.971 0.942

[7]
TlGeSN2 GGA-PBEsol optimized geometry; spin magnetization = 0.050 μB/atom; calculated volume = 15.1 A^3/atom; calculated total energy = -4.9171 eV/atom; ΔE_f (raw) = 0.88 eV per atom; symmetry = P4/mmm, No. 123
1.0
-3.140 -2.099 -0.040
1.654 -2.518 2.278
-1.807 2.623 4.210
N Ge S Tl
2 1 1 1
direct
0.000 0.500 0.000
0.500 0.000 0.000
0.000 0.000 0.000
0.000 0.000 0.500
0.500 0.500 0.500

[8]
SrTl3 GGA-PBEsol optimized geometry; spin magnetization = 0.000 μB/atom; calculated volume = 30.1 A^3/atom; calculated total energy = -2.6185 eV/atom; symmetry = R-3m, No. 166
1.0
-1.019 2.967 -1.685
-5.176 -1.224 3.484
5.109 2.113 3.138
Tl Sr
3 1
direct
0.500 0.000 0.500
0.500 0.500 0.000
0.000 0.500 0.500
0.000 0.000 0.000

[9]
LiBeP2 GGA-PBEsol optimized geometry; spin magnetization = 0.000 μB/atom; calculated volume = 15.8 A^3/atom; calculated total energy = -4.5560 eV/atom; symmetry = I-42d, No. 122
1.0
4.284 0.000 0.000
0.000 4.284 0.000
-2.142 -2.142 6.888
P Be Li
4 2 2
direct
0.625 0.745 0.750
0.995 0.375 0.250
0.255 0.875 0.250
0.125 0.005 0.750
0.000 0.000 0.000
0.250 0.750 0.500
0.500 0.500 0.000
0.750 0.250 0.500

[10]
Ir3Au GGA-PBEsol optimized geometry; spin magnetization = 0.000 μB/atom; calculated volume = 14.7 A^3/atom; calculated total energy = -8.0806 eV/atom; symmetry = Pmmm, No. 47
1.0
-1.708 -2.162 0.113
2.240 -1.897 -2.454
2.922 -2.085 4.278
Ir Au
3 1
direct
0.500 0.500 0.263
0.500 0.500 0.737
0.000 0.000 0.500
0.000 0.000 0.000

[11]
Hg4As2O7 GGA-PBEsol optimized geometry; spin magnetization = 0.000 μB/atom; calculated volume = 17.3 A^3/atom; calculated total energy = -4.5498 eV/atom; ΔE_f (raw) = -0.76 eV per atom; symmetry = Pnma, No. 62
1.0
-2.068 -5.062 4.998
7.355 -6.017 -3.051
7.497 5.015 8.180
O As Hg
28 8 16
direct
0.849 0.279 0.867
0.151 0.721 0.133
0.794 0.260 0.372
0.441 0.627 0.250
0.778 0.529 0.250
0.706 0.760 0.128
0.849 0.279 0.633
0.294 0.240 0.628
0.941 0.873 0.750
0.130 0.407 0.250
0.206 0.740 0.872
0.794 0.260 0.128
0.206 0.740 0.628
0.706 0.760 0.372
0.151 0.721 0.367
0.870 0.593 0.750
0.722 0.029 0.250
0.059 0.127 0.250
0.651 0.779 0.867
0.651 0.779 0.633
0.630 0.093 0.750
0.559 0.373 0.750
0.349 0.221 0.133
0.222 0.471 0.750
0.294 0.240 0.872
0.349 0.221 0.367
0.370 0.907 0.250
0.278 0.971 0.750
0.772 0.746 0.750
0.228 0.254 0.250
0.827 0.184 0.250
0.728 0.246 0.750
0.272 0.754 0.250
0.327 0.316 0.750
0.673 0.684 0.250
0.173 0.816 0.750
0.061 0.892 0.457
0.439 0.392 0.457
0.939 0.108 0.957
0.563 0.982 0.097
0.063 0.518 0.903
0.439 0.392 0.043
0.561 0.608 0.957
0.061 0.892 0.043
0.063 0.518 0.597
0.939 0.108 0.543
0.561 0.608 0.543
0.563 0.982 0.403
0.437 0.018 0.903
0.937 0.482 0.403
0.437 0.018 0.597
0.937 0.482 0.097

[12]
LiMg GGA-PBEsol optimized geometry; spin magnetization = 0.000 μB/atom; calculated volume = 20.5 A^3/atom; calculated total energy = -1.8765 eV/atom; symmetry = R-3m, No. 166
1.0
-0.503 -2.790 1.225
-1.157 -2.268 -1.749
4.057 -3.069 -1.431
Mg Li
1 1
direct
0.500 0.500 0.500
0.000 0.000 0.000